[1]
Here is a relaxed BaMgO2F crystal from Alexandria via LeMat-Bulk. Energies are from PBE.

- Total energy: -4.20 eV per atom
- Space group: P4/mmm (123)
- Formation energy from raw total energies: -1.142 eV/atom
- Crystal system: tetragonal

Lattice parameters (Å, degrees): 4.8145 4.8145 4.8397 90.00 90.00 90.00
With the nearest neighbours (Å) after each atom.
Fractional positions:
Ba (0.0000, 0.0000, 0.0000)  4 O 2.41, 2 F 2.42
Mg (0.5000, 0.5000, 0.5000)  4 F 3.40, 8 O 3.41
O (0.0000, 0.5000, 0.0000)  2 Ba 2.41
O (0.5000, 0.0000, 0.0000)  2 Ba 2.41
F (0.0000, 0.0000, 0.5000)  2 Ba 2.42



[2]
Here is a relaxed BaMgO2F crystal from Alexandria via LeMat-Bulk. Energies are from PBE.

- Total energy: -5.67 eV per atom
- Space group: P4/mmm (123)
- Formation energy from raw total energies: -2.608 eV/atom
- Crystal system: tetragonal

Lattice parameters (Å, degrees): 4.0913 4.0913 4.2305 90.00 90.00 90.00
With the nearest neighbours (Å) after each atom.
Fractional positions:
Ba (0.0000, 0.0000, 0.0000)  4 F 2.89, 8 O 2.94
Mg (0.5000, 0.5000, 0.5000)  4 O 2.05, 2 F 2.12
O (0.0000, 0.5000, 0.5000)  2 Mg 2.05
O (0.5000, 0.0000, 0.5000)  2 Mg 2.05
F (0.5000, 0.5000, 0.0000)  2 Mg 2.12



[3]
Here is a relaxed BaMg2OsF crystal from Alexandria via LeMat-Bulk. Energies are from PBE.

- Total energy: -3.66 eV per atom
- Space group: P4/mmm (123)
- Formation energy from raw total energies: -0.012 eV/atom
- Crystal system: tetragonal
- Polymorph energy (0 for the lowest one): 0.0 meV per atom

Lattice parameters (Å, degrees): 5.0138 5.0138 5.1236 90.00 90.00 90.00
With the nearest neighbours (Å) after each atom.
Fractional positions:
Ba (0.0000, 0.0000, 0.0000)  4 F 3.55, 8 Mg 3.58
Mg (0.0000, 0.5000, 0.5000)  2 Os 2.51
Mg (0.5000, 0.0000, 0.5000)  2 Os 2.51
Os (0.5000, 0.5000, 0.5000)  4 Mg 2.51, 2 F 2.56
F (0.5000, 0.5000, 0.0000)  2 Os 2.56



[4]
Here is a relaxed BaMg2OsF crystal from Alexandria via LeMat-Bulk. Energies are from PBE.

- Total energy: -2.25 eV per atom
- Space group: P4/mmm (123)
- Formation energy from raw total energies: 1.394 eV/atom
- Crystal system: tetragonal
- Polymorph energy (0 for the lowest one): 1406.1 meV per atom

Lattice parameters (Å, degrees): 7.0564 7.0564 5.6509 90.00 90.00 90.00
With the nearest neighbours (Å) after each atom.
Fractional positions:
Ba (0.0000, 0.0000, 0.0000)  2 Os 2.83
Mg (0.0000, 0.5000, 0.0000)  2 Ba 3.53
Mg (0.5000, 0.0000, 0.0000)  2 Ba 3.53
Os (0.0000, 0.0000, 0.5000)  2 Ba 2.83
F (0.5000, 0.5000, 0.5000)  8 Mg 4.52, 4 Os 4.99



[5]
Here is a relaxed BaMgPbF6 crystal from Alexandria via LeMat-Bulk. Energies are from PBE.

- Total energy: -5.26 eV per atom
- Space group: P312 (149)
- Formation energy from raw total energies: -3.213 eV/atom
- Crystal system: trigonal

Lattice parameters (Å, degrees): 5.9669 5.9669 5.4507 90.00 90.00 120.00
With the nearest neighbours (Å) after each atom.
Fractional positions:
Ba (0.0000, 0.0000, 0.0000)  6 F 2.66
Mg (0.6667, 0.3333, 0.5000)  6 F 2.04
Pb (0.3333, 0.6667, 0.5000)  6 F 2.46
F (0.3833, 0.0522, 0.7118)  1 Mg 2.04
F (0.3833, 0.3311, 0.2882)  1 Mg 2.04
F (0.6689, 0.0522, 0.2882)  1 Mg 2.04
F (0.6689, 0.6167, 0.7118)  1 Mg 2.04
F (0.9478, 0.3311, 0.7118)  1 Mg 2.04
F (0.9478, 0.6167, 0.2882)  1 Mg 2.04



[6]
Here is a relaxed Ba2Mg3PbF12 crystal from Alexandria via LeMat-Bulk. Energies are from PBE.

- Total energy: -5.34 eV per atom
- Space group: R-3m (166)
- Formation energy from raw total energies: -3.410 eV/atom
- Crystal system: trigonal

Lattice parameters (Å, degrees): 7.1352 7.1352 7.1352 62.08 62.08 62.08
With the nearest neighbours (Å) after each atom.
Fractional positions:
Ba (0.1124, 0.1124, 0.1124)  3 F 2.54
Ba (0.8876, 0.8876, 0.8876)  3 F 2.54
Mg (0.0000, 0.5000, 0.5000)  6 F 1.99-2.02
Mg (0.5000, 0.0000, 0.5000)  6 F 1.99-2.02
Mg (0.5000, 0.5000, 0.0000)  6 F 1.99-2.02
Pb (0.5000, 0.5000, 0.5000)  6 F 2.61
F (0.0638, 0.6419, 0.6419)  1 Mg 2.02
F (0.2238, 0.2238, 0.6248)  2 Mg 1.99
F (0.2238, 0.6248, 0.2238)  2 Mg 1.99
F (0.3581, 0.3581, 0.9362)  1 Mg 2.02
F (0.3581, 0.9362, 0.3581)  1 Mg 2.02
F (0.3752, 0.7762, 0.7762)  2 Mg 1.99
F (0.6248, 0.2238, 0.2238)  2 Mg 1.99
F (0.6419, 0.0638, 0.6419)  1 Mg 2.02
F (0.6419, 0.6419, 0.0638)  1 Mg 2.02
F (0.7762, 0.3752, 0.7762)  2 Mg 1.99
F (0.7762, 0.7762, 0.3752)  2 Mg 1.99
F (0.9362, 0.3581, 0.3581)  1 Mg 2.02



Copy entry 2 word for word.
Here is a relaxed BaMgO2F crystal from Alexandria via LeMat-Bulk. Energies are from PBE.

- Total energy: -5.67 eV per atom
- Space group: P4/mmm (123)
- Formation energy from raw total energies: -2.608 eV/atom
- Crystal system: tetragonal

Lattice parameters (Å, degrees): 4.0913 4.0913 4.2305 90.00 90.00 90.00
With the nearest neighbours (Å) after each atom.
Fractional positions:
Ba (0.0000, 0.0000, 0.0000)  4 F 2.89, 8 O 2.94
Mg (0.5000, 0.5000, 0.5000)  4 O 2.05, 2 F 2.12
O (0.0000, 0.5000, 0.5000)  2 Mg 2.05
O (0.5000, 0.0000, 0.5000)  2 Mg 2.05
F (0.5000, 0.5000, 0.0000)  2 Mg 2.12



> What is the total energy in the second record?

-5.67 eV per atom